Here is HfCoCl2O after structural relaxation from the Alexandria database. Energies are from PBE with a Hubbard U.

## Properties
- density of states at the Fermi level (states/eV/atom) = 0.30
- crystal system = tetragonal
- energy (eV/cell) = -22.84

a b c (Å): 4.178 4.178 5.026
angles (deg): 90.00 90.00 90.00
Space group P4/mmm (No. 123)
Asymmetric unit:
Hf 0.000 0.000 0.000 [1 per cell]
Co 0.000 0.000 0.500 [1 per cell]
Cl 0.000 0.500 0.500 [2 per cell]
O 0.500 0.500 0.000 [1 per cell]